DFT (meta-GGA SCAN) results for a PBEsol-optimized structure of Na2TlS.

For the total energy, the calculation gives -23.05 eV per atom. The calculation puts the theoretical density at 4.5 Mg/m³. The formation energy from raw total energies is -0.4485 eV/atom.

The structure belongs to space group I-42d (No. 122); the cell edges are 4.727, 4.727 and 18.719 Å and the angles 90.00°, 90.00° and 90.00°. The inequivalent atoms are Na at (0.190, 0.250, 0.125), Tl at (0.000, 0.000, 0.500) and S at (0.000, 0.000, 0.000).